1.
VASP calculation (SCAN) on La3Hg at its PBEsol-relaxed geometry.

Computed properties:
- E_tot (eV per cell) = -397.71
- offset from the most stable computed form (eV/atom) = 0.021
- size of the total moment (Bohr magnetons per cell) = 0.0

a = 3.8118 Å, b = 5.6552 Å, c = 11.3873 Å
α = 90.00°, β = 90.00°, γ = 90.00°
Space group Immm (No. 71)
Inequivalent atoms, fractional coordinates:
La: 0.0000 0.0000 0.0000 x2
La: 0.0000 0.5000 0.2307 x4
Hg: 0.0000 0.0000 0.5000 x2



2.
VASP calculation (SCAN) on La4Hg at its PBEsol-relaxed geometry.

Computed properties:
- E_tot (eV per cell) = -483.66
- offset from the most stable computed form (eV/atom) = 0.000
- size of the total moment (Bohr magnetons per cell) = 0.0

a = 7.8630 Å, b = 7.8630 Å, c = 4.8550 Å
α = 90.00°, β = 90.00°, γ = 90.00°
Space group I4/m (No. 87)
Inequivalent atoms, fractional coordinates:
La: 0.1135 0.2993 0.0000 x8
Hg: 0.0000 0.0000 0.5000 x2



3.
VASP calculation (SCAN) on La3Hg at its PBEsol-relaxed geometry.

Computed properties:
- E_tot (eV per cell) = -397.87
- offset from the most stable computed form (eV/atom) = 0.000
- size of the total moment (Bohr magnetons per cell) = 0.0

a = 3.6544 Å, b = 11.1991 Å, c = 5.9745 Å
α = 90.00°, β = 90.00°, γ = 90.00°
Space group Imm2 (No. 44)
Inequivalent atoms, fractional coordinates:
La: 0.0000 0.0000 0.0000 x2
La: 0.0000 0.2200 0.3826 x4
Hg: 0.0000 0.5000 0.0504 x2



4.
VASP calculation (SCAN) on LaHg3 at its PBEsol-relaxed geometry.

Computed properties:
- E_tot (eV per cell) = -998.80
- size of the total moment (Bohr magnetons per cell) = 0.0

a = 6.6729 Å, b = 6.6729 Å, c = 10.4087 Å
α = 90.00°, β = 90.00°, γ = 120.00°
Space group P6_3/mmc (No. 194)
Inequivalent atoms, fractional coordinates:
La: 0.0000 0.0000 0.0000 x2
La: 0.3333 0.6667 0.2500 x2
Hg: 0.0000 0.5000 0.0000 x6
Hg: 0.1719 0.3439 0.7500 x6



5.
VASP calculation (SCAN) on La3Hg at its PBEsol-relaxed geometry.

Computed properties:
- E_tot (eV per cell) = -795.14
- offset from the most stable computed form (eV/atom) = 0.038
- size of the total moment (Bohr magnetons per cell) = 0.0

a = 7.5402 Å, b = 11.3697 Å, c = 5.5829 Å
α = 90.00°, β = 90.00°, γ = 90.00°
Space group Cmcm (No. 63)
Inequivalent atoms, fractional coordinates:
La: 0.0000 0.0853 0.2500 x4
La: 0.2344 0.3659 0.2500 x8
Hg: 0.0000 0.3796 0.7500 x4



6.
VASP calculation (SCAN) on La8Hg at its PBEsol-relaxed geometry.

Computed properties:
- E_tot (eV per cell) = -827.76
- size of the total moment (Bohr magnetons per cell) = 0.0

a = 10.7224 Å, b = 10.7224 Å, c = 4.9725 Å
α = 90.00°, β = 90.00°, γ = 90.00°
Space group I4/mmm (No. 139)
Inequivalent atoms, fractional coordinates:
La: 0.0000 0.3175 0.0000 x8
La: 0.1672 0.1672 0.5000 x8
Hg: 0.0000 0.0000 0.0000 x2



7.
VASP calculation (SCAN) on La4Hg at its PBEsol-relaxed geometry.

Computed properties:
- E_tot (eV per cell) = -480.34
- offset from the most stable computed form (eV/atom) = 0.332
- size of the total moment (Bohr magnetons per cell) = 0.0

a = 4.2194 Å, b = 4.2194 Å, c = 18.9120 Å
α = 90.00°, β = 90.00°, γ = 90.00°
Space group I4/mmm (No. 139)
Inequivalent atoms, fractional coordinates:
La: 0.0000 0.0000 0.0809 x4
La: 0.0000 0.5000 0.2500 x4
Hg: 0.0000 0.0000 0.5000 x2



8.
VASP calculation (SCAN) on LaHg at its PBEsol-relaxed geometry.

Computed properties:
- E_tot (eV per cell) = -449.95
- size of the total moment (Bohr magnetons per cell) = 0.0

a = 3.9255 Å, b = 5.1320 Å, c = 10.8866 Å
α = 90.00°, β = 90.00°, γ = 90.00°
Space group Imma (No. 74)
Inequivalent atoms, fractional coordinates:
La: 0.0000 0.2500 0.1126 x4
Hg: 0.0000 0.2500 0.6457 x4



9.
VASP calculation (SCAN) on La3Hg at its PBEsol-relaxed geometry.

Computed properties:
- E_tot (eV per cell) = -397.18
- offset from the most stable computed form (eV/atom) = 0.087
- size of the total moment (Bohr magnetons per cell) = 0.0

a = 8.0338 Å, b = 8.0659 Å, c = 3.6355 Å
α = 90.00°, β = 90.00°, γ = 90.00°
Space group Cmmm (No. 65)
Inequivalent atoms, fractional coordinates:
La: 0.0000 0.0000 0.0000 x2
La: 0.2500 0.2500 0.5000 x4
Hg: 0.0000 0.5000 0.0000 x2



10.
VASP calculation (SCAN) on LaHg3 at its PBEsol-relaxed geometry.

Computed properties:
- E_tot (eV per cell) = -499.12
- size of the total moment (Bohr magnetons per cell) = 0.0

a = 5.8938 Å, b = 5.8938 Å, c = 5.8938 Å
α = 90.00°, β = 90.00°, γ = 90.00°
Space group Pm-3n (No. 223)
Inequivalent atoms, fractional coordinates:
La: 0.0000 0.0000 0.0000 x2
Hg: 0.0000 0.2500 0.5000 x6



11.
VASP calculation (SCAN) on LaHg at its PBEsol-relaxed geometry.

Computed properties:
- E_tot (eV per cell) = -224.84
- size of the total moment (Bohr magnetons per cell) = 0.0

a = 4.0526 Å, b = 4.0526 Å, c = 8.7651 Å
α = 90.00°, β = 90.00°, γ = 120.00°
Space group P6_3/mmc (No. 194)
Inequivalent atoms, fractional coordinates:
La: 0.3333 0.6667 0.2500 x2
Hg: 0.0000 0.0000 0.0000 x2



12.
VASP calculation (SCAN) on La3Hg at its PBEsol-relaxed geometry.

Computed properties:
- E_tot (eV per cell) = -198.75
- offset from the most stable computed form (eV/atom) = 0.046
- size of the total moment (Bohr magnetons per cell) = 0.0

a = 3.6338 Å, b = 4.5404 Å, c = 7.2636 Å
α = 90.00°, β = 90.00°, γ = 90.00°
Space group Pmmm (No. 47)
Inequivalent atoms, fractional coordinates:
La: 0.0000 0.0000 0.0000 x1
La: 0.5000 0.5000 0.2779 x2
Hg: 0.0000 0.0000 0.5000 x1



13.
VASP calculation (SCAN) on LaHg8 at its PBEsol-relaxed geometry.

Computed properties:
- E_tot (eV per cell) = -1181.82
- size of the total moment (Bohr magnetons per cell) = 0.0

a = 9.7852 Å, b = 9.7852 Å, c = 4.4918 Å
α = 90.00°, β = 90.00°, γ = 90.00°
Space group I4/mmm (No. 139)
Inequivalent atoms, fractional coordinates:
La: 0.0000 0.0000 0.0000 x2
Hg: 0.0000 0.3378 0.0000 x8
Hg: 0.1716 0.1716 0.5000 x8



14.
VASP calculation (SCAN) on La3Hg at its PBEsol-relaxed geometry.

Computed properties:
- E_tot (eV per cell) = -397.70
- offset from the most stable computed form (eV/atom) = 0.022
- size of the total moment (Bohr magnetons per cell) = 0.0

a = 5.7146 Å, b = 6.8069 Å, c = 6.0920 Å
α = 90.00°, β = 90.00°, γ = 90.00°
Space group Pmmn (No. 59, origin choice 2)
Inequivalent atoms, fractional coordinates:
La: 0.2500 0.0014 0.1206 x4
La: 0.2500 0.2500 0.5948 x2
Hg: 0.2500 0.7500 0.6579 x2



15.
VASP calculation (SCAN) on La3Hg at its PBEsol-relaxed geometry.

Computed properties:
- E_tot (eV per cell) = -397.50
- offset from the most stable computed form (eV/atom) = 0.047
- size of the total moment (Bohr magnetons per cell) = 0.0

a = 4.8301 Å, b = 4.8301 Å, c = 10.0539 Å
α = 90.00°, β = 90.00°, γ = 90.00°
Space group I4/mmm (No. 139)
Inequivalent atoms, fractional coordinates:
La: 0.0000 0.0000 0.0000 x2
La: 0.0000 0.5000 0.2500 x4
Hg: 0.0000 0.0000 0.5000 x2



16.
VASP calculation (SCAN) on La3Hg2 at its PBEsol-relaxed geometry.

Computed properties:
- E_tot (eV per cell) = -2145.17
- size of the total moment (Bohr magnetons per cell) = 0.0

a = 11.2836 Å, b = 15.9867 Å, c = 6.3466 Å
α = 90.00°, β = 90.00°, γ = 90.00°
Space group Fdd2 (No. 43)
Inequivalent atoms, fractional coordinates:
La: 0.0000 0.0000 0.0000 x8
La: 0.0501 0.4008 0.9878 x16
Hg: 0.0223 0.2986 0.5375 x16



17.
VASP calculation (SCAN) on LaHg at its PBEsol-relaxed geometry.

Computed properties:
- E_tot (eV per cell) = -450.46
- size of the total moment (Bohr magnetons per cell) = 1.2

a = 3.7834 Å, b = 12.2851 Å, c = 4.9153 Å
α = 90.00°, β = 90.00°, γ = 90.00°
Space group Cmcm (No. 63)
Inequivalent atoms, fractional coordinates:
La: 0.0000 0.1502 0.2500 x4
Hg: 0.0000 0.4248 0.2500 x4



18.
VASP calculation (SCAN) on La7Hg at its PBEsol-relaxed geometry.

Computed properties:
- E_tot (eV per cell) = -1484.05
- size of the total moment (Bohr magnetons per cell) = 0.0

a = 9.9947 Å, b = 9.9947 Å, c = 9.9947 Å
α = 90.00°, β = 90.00°, γ = 90.00°
Space group Fm-3m (No. 225)
Inequivalent atoms, fractional coordinates:
La: 0.0000 0.0000 0.0000 x4
La: 0.0000 0.2500 0.2500 x24
Hg: 0.0000 0.0000 0.5000 x4



19.
VASP calculation (SCAN) on La3Hg at its PBEsol-relaxed geometry.

Computed properties:
- E_tot (eV per cell) = -795.45
- offset from the most stable computed form (eV/atom) = 0.019
- size of the total moment (Bohr magnetons per cell) = 0.0

a = 6.5426 Å, b = 11.0358 Å, c = 6.7690 Å
α = 90.00°, β = 90.00°, γ = 90.00°
Space group Pnma (No. 62)
Inequivalent atoms, fractional coordinates:
La: 0.0071 0.2500 0.1454 x4
La: 0.2226 0.5376 0.4044 x8
Hg: 0.1037 0.2500 0.6282 x4



20.
VASP calculation (SCAN) on LaHg3 at its PBEsol-relaxed geometry.

Computed properties:
- E_tot (eV per cell) = -249.59
- size of the total moment (Bohr magnetons per cell) = 0.0

a = 4.6641 Å, b = 4.6641 Å, c = 4.6641 Å
α = 90.00°, β = 90.00°, γ = 90.00°
Space group Pm-3m (No. 221)
Inequivalent atoms, fractional coordinates:
La: 0.0000 0.0000 0.0000 x1
Hg: 0.0000 0.5000 0.5000 x3



21.
VASP calculation (SCAN) on La3Hg at its PBEsol-relaxed geometry.

Computed properties:
- E_tot (eV per cell) = -198.75
- offset from the most stable computed form (eV/atom) = 0.046
- size of the total moment (Bohr magnetons per cell) = 0.0

a = 4.9173 Å, b = 4.9173 Å, c = 4.9173 Å
α = 90.00°, β = 90.00°, γ = 90.00°
Space group Pm-3m (No. 221)
Inequivalent atoms, fractional coordinates:
La: 0.0000 0.0000 0.5000 x3
Hg: 0.5000 0.5000 0.5000 x1



22.
VASP calculation (SCAN) on La3Hg at its PBEsol-relaxed geometry.

Computed properties:
- E_tot (eV per cell) = -198.67
- offset from the most stable computed form (eV/atom) = 0.066
- size of the total moment (Bohr magnetons per cell) = 0.0

a = 3.6166 Å, b = 5.6336 Å, c = 5.8019 Å
α = 90.00°, β = 90.00°, γ = 90.00°
Space group Pmm2 (No. 25)
Inequivalent atoms, fractional coordinates:
La: 0.0000 0.0000 0.0000 x1
La: 0.0000 0.5000 0.4397 x1
La: 0.5000 0.5000 0.8904 x1
Hg: 0.5000 0.0000 0.5125 x1



23.
VASP calculation (SCAN) on LaHg7 at its PBEsol-relaxed geometry.

Computed properties:
- E_tot (eV per cell) = -2087.50
- size of the total moment (Bohr magnetons per cell) = 0.0

a = 9.2745 Å, b = 9.2745 Å, c = 9.2745 Å
α = 90.00°, β = 90.00°, γ = 90.00°
Space group Fm-3m (No. 225)
Inequivalent atoms, fractional coordinates:
La: 0.0000 0.0000 0.0000 x4
Hg: 0.0000 0.0000 0.5000 x4
Hg: 0.0000 0.2500 0.2500 x24



24.
VASP calculation (SCAN) on LaHg3 at its PBEsol-relaxed geometry.

Computed properties:
- E_tot (eV per cell) = -998.42
- size of the total moment (Bohr magnetons per cell) = 0.0

a = 6.5435 Å, b = 9.4167 Å, c = 6.5889 Å
α = 90.00°, β = 90.00°, γ = 90.00°
Space group Pnma (No. 62)
Inequivalent atoms, fractional coordinates:
La: 0.0000 0.2500 0.0396 x4
Hg: 0.9995 0.2500 0.5313 x4
Hg: 0.2495 0.0128 0.7494 x8



25.
VASP calculation (SCAN) on La3Hg at its PBEsol-relaxed geometry.

Computed properties:
- E_tot (eV per cell) = -397.65
- offset from the most stable computed form (eV/atom) = 0.028
- size of the total moment (Bohr magnetons per cell) = 0.0

a = 7.0820 Å, b = 7.0820 Å, c = 5.4535 Å
α = 90.00°, β = 90.00°, γ = 120.00°
Space group P6_3/mmc (No. 194)
Inequivalent atoms, fractional coordinates:
La: 0.1784 0.3567 0.2500 x6
Hg: 0.3333 0.6667 0.7500 x2



26.
VASP calculation (SCAN) on LaHg3 at its PBEsol-relaxed geometry.

Computed properties:
- E_tot (eV per cell) = -999.81
- size of the total moment (Bohr magnetons per cell) = 0.0

a = 6.7980 Å, b = 11.7262 Å, c = 4.9638 Å
α = 90.00°, β = 90.00°, γ = 90.00°
Space group Cmcm (No. 63)
Inequivalent atoms, fractional coordinates:
La: 0.0000 0.1634 0.2500 x4
Hg: 0.0000 0.3371 0.7500 x4
Hg: 0.2360 0.4191 0.2500 x8



Energy of formation for every record listed, in sequence, given in eV/f.u.: -1.372 -1.244 -1.456 -2.098 -1.303 -0.876 0.417 -1.217 -1.109 -1.955 -1.149 -1.274 -2.476 -1.369 -1.269 -2.500 -1.343 -1.111 -1.380 -1.983 -1.273 -1.194 -1.609 -2.003 -1.346 -2.350.